Entry 1:
Entry from the Alexandria database: a geometry-optimized Sr2MgAg structure (PBE).

Results
**Electronic total energy**: -2.068 eV/atom
**SG**: Cm
**Mass density**: 3.8 g cm⁻³

a b c (Å): 6.992 6.992 5.804
angles (deg): 65.04 65.04 31.70
Positions (direct):
Sr 0.011 0.011 0.990
Sr 0.211 0.211 0.287
Ag 0.477 0.477 0.526
Mg 0.801 0.801 0.696


Entry 2:
Entry from the Alexandria database: a geometry-optimized KNbAs2Ru structure (PBE).

Results
**Electronic total energy**: -4.641 eV/atom
**SG**: P4/mmm
**Mass density**: 4.5 g cm⁻³

a b c (Å): 4.990 5.619 4.990
angles (deg): 90.00 90.00 90.00
Each line ends with the local moment (μB).
Positions (direct):
As 0.500 0.000 0.000  -0.07
As 0.000 0.000 0.500  -0.07
Nb 0.000 0.000 0.000  0.81
Ru 0.500 0.500 0.500  2.45
K 0.000 0.500 0.000  0.04


Entry 3:
Entry from the Alexandria database: a geometry-optimized Ti4ReAu structure (PBE).

Results
**Electronic total energy**: -7.806 eV/atom
**Energy above the most stable polymorph in this dataset**: 368 meV/atom
**SG**: R-3m
**Mass density**: 8.2 g cm⁻³

a b c (Å): 4.400 4.403 7.403
angles (deg): 72.66 72.71 60.03
Positions (direct):
Au 0.500 0.500 0.500
Re 0.000 0.000 0.000
Ti 0.369 0.369 0.893
Ti 0.631 0.631 0.107
Ti 0.880 0.881 0.358
Ti 0.120 0.119 0.642


Entry 4:
Entry from the Alexandria database: a geometry-optimized FeTc2Ag structure (PBE).

Results
**Electronic total energy**: -7.460 eV/atom
**Energy above the most stable polymorph in this dataset**: 234 meV/atom
**SG**: F-43m
**Mass density**: 10.0 g cm⁻³

a b c (Å): 4.381 4.381 4.381
angles (deg): 60.00 60.00 60.00
Each line ends with the local moment (μB).
Positions (direct):
Fe 0.250 0.250 0.250  2.82
Ag 0.500 0.500 0.500  0.02
Tc 0.750 0.750 0.750  -0.13
Tc 0.000 0.000 0.000  0.25


Entry 5:
Entry from the Alexandria database: a geometry-optimized KCaHgW2 structure (PBE).

Results
**Electronic total energy**: -3.815 eV/atom
**SG**: P4/mmm
**Mass density**: 7.1 g cm⁻³

a b c (Å): 5.136 5.753 5.136
angles (deg): 90.00 90.00 90.00
Positions (direct):
K 0.500 0.500 0.500
W 0.500 0.000 0.000
W 0.000 0.000 0.500
Ca 0.000 0.500 0.000
Hg 0.000 0.000 0.000


Entry 6:
Entry from the Alexandria database: a geometry-optimized Mn2InI6 structure (PBE).

Results
**Electronic total energy**: -3.777 eV/atom
**Energy above the most stable polymorph in this dataset**: 0 meV/atom
**SG**: C2/c
**Formation energy (no corrections)**: -0.402 eV per atom
**Mass density**: 4.3 g cm⁻³

a b c (Å): 7.778 10.011 10.011
angles (deg): 84.81 81.13 81.13
Each line ends with the local moment (μB).
Positions (direct):
I 0.125 0.128 0.609  -0.02
I 0.625 0.609 0.128  -0.02
I 0.618 0.290 0.450  0.07
I 0.382 0.710 0.550  0.07
I 0.118 0.450 0.290  0.07
I 0.867 0.201 0.039  -0.05
I 0.133 0.799 0.961  -0.05
I 0.875 0.872 0.391  -0.02
I 0.633 0.961 0.799  -0.05
I 0.367 0.039 0.201  -0.05
I 0.882 0.550 0.710  0.07
I 0.375 0.391 0.872  -0.02
Mn 0.183 0.614 0.775  4.22
Mn 0.817 0.386 0.225  4.22
Mn 0.683 0.775 0.614  4.22
Mn 0.317 0.225 0.386  4.22
In 0.250 0.118 0.882  -0.21
In 0.750 0.882 0.118  -0.21